NdScAgRh | the Alexandria database | PBE-GGA | optimized geometry; formation energy = -0.452 eV per atom; space-group type = F-43m (216)
1.0
4.9503 0.0000 0.0000
2.4752 4.2871 0.0000
2.4752 1.4290 4.0419
Sc Rh Nd Ag
1 1 1 1
Cartesian
4.9503 2.8581 2.0210
2.4752 1.4290 1.0105
0.0000 0.0000 0.0000
7.4255 4.2871 3.0314

=====

BaNaF | the Alexandria database | PBE-GGA | optimized geometry; raw formation energy = -1.75 eV/atom; space-group type = P-6m2 (187); energy above the most stable polymorph in this dataset = 0.142 eV/atom
1.0
4.4679 0.0000 0.0000
-2.2340 3.8693 0.0000
0.0000 0.0000 6.9024
Na Ba F
1 1 1
Cartesian
0.0000 0.0000 0.0005
2.2340 1.2898 3.4522
0.0000 2.5796 3.4497

=====

La2PrSc | the Alexandria database | PBE-GGA | optimized geometry; formation energy = 0.119 eV per atom; space-group type = Fm-3m (225); energy above the most stable polymorph in this dataset = 0.082 eV/atom
1.0
-0.5728 -0.7091 -5.6844
4.2021 -2.5174 -3.0247
-0.7825 -5.2710 -2.1789
Pr Sc La
1 1 2
Cartesian
0.0000 0.0000 0.0000
1.4234 -4.2487 -5.4440
0.7117 -2.1244 -2.7220
2.1351 -6.3731 -8.1660

=====

Ti2BePd6 | the Alexandria database | PBE-GGA | optimized geometry; formation energy = -0.572 eV per atom; space-group type = P4_2/mnm (136)
1.0
3.9955 0.0000 0.1752
0.0000 8.0977 0.0000
-0.3545 0.0000 8.0911
Ti Be Pd
4 2 12
Cartesian
3.7105 2.4585 6.6763
1.7511 6.5073 5.7234
1.8900 1.5904 2.5430
-0.0694 5.6392 1.5900
1.9977 4.0488 0.0876
-0.1772 0.0000 4.0456
3.9314 0.1992 1.6332
3.8094 5.5082 4.4208
3.6854 5.0682 7.2487
1.7761 1.0194 5.1510
1.6522 1.4594 7.9787
1.8846 4.2482 2.6751
-0.2904 7.8984 6.6332
-0.1684 2.5895 3.8456
-0.0444 3.0295 1.0177
1.8649 7.0783 3.1154
1.9889 6.6383 0.2877
1.7564 3.8495 5.5913

=====

Sc5InPd4 | the Alexandria database | PBE-GGA | optimized geometry; formation energy = -0.801 eV per atom; space-group type = P4/mmm (123)
1.0
3.3420 0.0000 0.0000
0.0000 3.3420 0.0000
0.0000 0.0000 17.0578
Sc In Pd
5 1 4
Cartesian
1.6710 1.6710 2.0043
1.6710 1.6710 5.2490
1.6710 1.6710 8.5289
1.6710 1.6710 11.8087
1.6710 1.6710 15.0535
0.0000 0.0000 0.0000
0.0000 0.0000 3.5791
0.0000 0.0000 6.8899
0.0000 0.0000 10.1679
0.0000 0.0000 13.4787

=====

SrRhCl2 | the Alexandria database | PBE-GGA | optimized geometry; raw formation energy = -0.89 eV/atom; space-group type = R-3m (166); energy above the most stable polymorph in this dataset = 0.129 eV/atom
1.0
2.6448 0.0000 7.0687
-1.3224 2.2904 7.0687
-1.3224 -2.2904 7.0687
Sr Rh Cl
1 1 2
Cartesian
0.0000 0.0000 10.6031
0.0000 0.0000 0.0000
0.0000 0.0000 18.8924
0.0000 0.0000 2.3137

=====

Rb2UO4 | the Alexandria database | PBE-GGA | optimized geometry; raw formation energy = -2.65 eV/atom; space-group type = I4/mmm (139); energy above the most stable polymorph in this dataset = 0.000 eV/atom
1.0
7.7437 0.0009 0.0000
5.2583 5.6847 0.0000
-6.5010 -2.8428 3.1017
Rb U O
2 1 4
Cartesian
4.5031 1.9691 0.0000
8.4989 3.7165 0.0000
0.0000 0.0000 0.0000
0.6214 -1.4209 1.5508
-0.6214 1.4209 1.5508
11.2122 4.9030 0.0000
1.7898 0.7827 0.0000

=====

Y2Tm6Mg | the Alexandria database | PBE-GGA | optimized geometry; formation energy = 0.033 eV per atom; space-group type = P4_2/mnm (136); energy above the most stable polymorph in this dataset = 0.000 eV/atom
1.0
4.9537 0.0000 0.1999
0.0000 10.4222 0.0000
-0.4199 0.0000 10.4136
Y Tm Mg
4 12 2
Cartesian
4.6016 3.5061 8.9139
2.1991 8.7171 7.0065
2.3347 1.7051 3.6070
-0.0678 6.9161 1.6996
4.8843 10.4071 1.9158
-0.2088 6.9281 5.1880
-0.3483 6.9771 8.6453
2.1954 1.7660 7.0751
2.4757 1.7170 0.1188
2.3363 5.1960 3.5909
-0.3505 0.0151 8.6978
4.7426 3.4941 5.4256
4.8822 3.4451 1.9682
2.3384 8.6562 3.5384
2.0582 8.7052 10.4947
2.1975 5.2262 7.0226
2.4769 5.2111 0.1000
-0.2099 0.0000 5.2068

=====

Cs2P6Au | the Alexandria database | PBE-GGA | optimized geometry; formation energy = -0.218 eV per atom; space-group type = P-1 (2)
1.0
-4.6137 -0.6913 -2.4743
1.1827 4.6252 -7.6409
-1.2852 -8.8342 0.9414
Cs P Au
2 6 1
Cartesian
-1.5338 2.1155 -7.5026
-3.1825 -7.0159 -1.6712
-3.0795 -0.6286 -5.5075
-1.6367 -4.2719 -3.6663
-0.2862 -2.9154 -4.7132
-3.6718 -3.7981 -3.5122
-1.0444 -1.1023 -5.6616
-4.4301 -1.9850 -4.4606
0.0000 0.0000 0.0000

=====

CuGeS2 | the Alexandria database | PBE-GGA | optimized geometry; raw formation energy = 0.17 eV/atom; space-group type = R-3m (166)
1.0
6.3784 3.8707 2.6256
5.8936 1.5611 5.0388
7.5560 0.7336 2.2202
Ge S Cu
1 2 1
Cartesian
0.0000 0.0000 0.0000
17.6482 5.4876 8.7979
2.1798 0.6778 1.0867
9.9140 3.0827 4.9423

=====

ZrSi3 | the Alexandria database | PBE-GGA | optimized geometry; raw formation energy = -0.03 eV/atom; space-group type = Pm-3n (223)
1.0
-1.9462 1.2199 -4.5496
-3.9342 -3.1280 0.8442
-2.5902 3.8344 2.1361
Zr Si
2 6
Cartesian
0.0000 0.0000 0.0000
-4.2353 0.9632 -0.7846
-3.4267 -0.6491 -2.9901
-2.4536 -1.2590 -0.7153
-4.2457 -0.4288 1.7012
-2.2787 1.1352 1.2791
-1.6206 1.5685 -1.7408
-2.9157 3.4857 -0.6727

=====

HfZrUAl | the Alexandria database | PBE-GGA | optimized geometry; formation energy = 0.116 eV per atom; space-group type = F-43m (216)
1.0
-2.1062 4.0579 -1.8110
-2.9923 2.6887 2.8283
1.4344 4.4299 1.5814
Hf U Al Zr
1 1 1 1
Cartesian
-0.9160 2.7941 0.6497
0.0000 0.0000 0.0000
-1.8321 5.5882 1.2993
-2.7481 8.3824 1.9490